No. 1
A plane-wave DFT calculation with GGA-PBE was carried out for a geometry-optimized BaTl3Hg structure.

The space group is Pnma (No. 62) and the conventional cell measures 10.0291, 5.3257 and 12.5150 Å, with angles of 90.00, 90.00 and 90.00 degrees. Symmetry generates all atoms from Ba at (0.2197, 0.2500, 0.0033), Tl at (0.0857, 0.2500, 0.3802), Tl at (0.0971, 0.2500, 0.6457), Tl at (0.0986, 0.7500, 0.8251) and Hg at (0.0925, 0.7500, 0.1557).

Its crystal system is orthorhombic. For the total energy, the calculation gives -2.11 eV/atom.

=====

No. 2
A plane-wave DFT calculation with GGA-PBE was carried out for a geometry-optimized Ba2Tl4Hg structure.

The space group is P2_1/m (No. 11) and the conventional cell measures 7.0171, 7.2485 and 9.9719 Å, with angles of 90.00, 104.32 and 90.00 degrees. Symmetry generates all atoms from Ba at (0.1155, 0.2500, 0.4114), Ba at (0.2696, 0.7500, 0.0239), Tl at (0.2589, 0.2500, 0.1007), Tl at (0.3031, 0.7500, 0.4095), Tl at (0.4037, 0.5211, 0.6993) and Hg at (0.1137, 0.2500, 0.7861).

Its crystal system is monoclinic. For the total energy, the calculation gives -2.27 eV/atom.

=====

No. 3
A plane-wave DFT calculation with GGA-PBE was carried out for a geometry-optimized BaTl2Hg2 structure.

The space group is P4/mbm (No. 127) and the conventional cell measures 8.6603, 8.6603 and 4.4334 Å, with angles of 90.00, 90.00 and 90.00 degrees. Symmetry generates all atoms from Ba at (0.0000, 0.0000, 0.0000), Tl at (0.1765, 0.3235, 0.5000) and Hg at (0.1231, 0.6231, 0.0000).

Its crystal system is tetragonal. For the total energy, the calculation gives -1.66 eV/atom.

=====

No. 4
A plane-wave DFT calculation with GGA-PBE was carried out for a geometry-optimized BaTl2Hg2 structure.

The space group is C2/m (No. 12) and the conventional cell measures 9.2339, 7.3344 and 5.7228 Å, with angles of 90.00, 125.05 and 90.00 degrees. Symmetry generates all atoms from Ba at (0.0000, 0.0000, 0.0000), Tl at (0.2038, 0.5000, 0.2198) and Hg at (0.0000, 0.3002, 0.5000).

Its crystal system is monoclinic. For the total energy, the calculation gives -1.73 eV/atom.

=====

No. 5
A plane-wave DFT calculation with GGA-PBE was carried out for a geometry-optimized Ba2Tl3Hg9 structure.

The space group is Cmcm (No. 63) and the conventional cell measures 16.0143, 9.2698 and 11.2508 Å, with angles of 90.00, 90.00 and 90.00 degrees. Symmetry generates all atoms from Ba at (0.1601, 0.1676, 0.2500), Tl at (0.0000, 0.0000, 0.0000), Tl at (0.1845, 0.5000, 0.0000), Hg at (0.0000, 0.1381, 0.7500), Hg at (0.0000, 0.3370, 0.0614), Hg at (0.0980, 0.4506, 0.7500) and Hg at (0.1623, 0.1769, 0.5945).

Its crystal system is orthorhombic. For the total energy, the calculation gives -1.21 eV/atom.

=====

No. 6
A plane-wave DFT calculation with GGA-PBE was carried out for a geometry-optimized Ba2TlHg12 structure.

The space group is P4/nbm (No. 125, origin choice 2) and the conventional cell measures 7.0637, 7.0637 and 18.4843 Å, with angles of 90.00, 90.00 and 90.00 degrees. Symmetry generates all atoms from Ba at (0.2500, 0.7500, 0.2455), Tl at (0.2500, 0.7500, 0.5000), Hg at (0.0005, 0.5005, 0.3994), Hg at (0.0918, 0.5918, 0.9345), Hg at (0.2500, 0.2500, 0.1455) and Hg at (0.2500, 0.2500, 0.3057).

Its crystal system is tetragonal. For the total energy, the calculation gives -0.86 eV/atom.

=====

No. 7
A plane-wave DFT calculation with GGA-PBE was carried out for a geometry-optimized BaTl12Hg4 structure.

The space group is Im-3 (No. 204) and the conventional cell measures 10.5035, 10.5035 and 10.5035 Å, with angles of 90.00, 90.00 and 90.00 degrees. Symmetry generates all atoms from Ba at (0.0000, 0.0000, 0.0000), Tl at (0.0000, 0.1527, 0.3536) and Hg at (0.2500, 0.2500, 0.2500).

Its crystal system is cubic. For the total energy, the calculation gives -1.80 eV/atom.

=====

No. 8
A plane-wave DFT calculation with GGA-PBE was carried out for a geometry-optimized Ba2Tl8Hg structure.

The space group is C2/m (No. 12) and the conventional cell measures 9.0124, 17.6925 and 5.7641 Å, with angles of 90.00, 124.69 and 90.00 degrees. Symmetry generates all atoms from Ba at (0.0000, 0.2002, 0.0000), Tl at (0.0000, 0.3280, 0.5000), Tl at (0.0914, 0.0000, 0.3146), Tl at (0.2306, 0.3805, 0.2101) and Hg at (0.0000, 0.5000, 0.5000).

Its crystal system is monoclinic. For the total energy, the calculation gives -2.24 eV/atom.

=====

No. 9
A plane-wave DFT calculation with GGA-PBE was carried out for a geometry-optimized Ba2Tl6Hg structure.

The space group is C2/m (No. 12) and the conventional cell measures 12.4097, 7.2749 and 7.0512 Å, with angles of 90.00, 106.91 and 90.00 degrees. Symmetry generates all atoms from Ba at (0.1493, 0.0000, 0.3355), Tl at (0.1252, 0.5000, 0.1722), Tl at (0.1295, 0.2239, 0.8239) and Hg at (0.0000, 0.5000, 0.5000).

Its crystal system is monoclinic. For the total energy, the calculation gives -2.29 eV/atom.

=====

No. 10
A plane-wave DFT calculation with GGA-PBE was carried out for a geometry-optimized BaTlHg structure.

The space group is I4mm (No. 107) and the conventional cell measures 4.3218, 4.3218 and 11.2276 Å, with angles of 90.00, 90.00 and 90.00 degrees. Symmetry generates all atoms from Ba at (0.0000, 0.0000, 0.0000), Tl at (0.0000, 0.0000, 0.3152) and Hg at (0.0000, 0.0000, 0.6727).

Its crystal system is tetragonal. For the total energy, the calculation gives -1.88 eV/atom.